Entry 1:
The following is a DFT calculation (PBE-GGA) of a relaxed structure of YCr2NiI.

abc: 4.750 4.750 5.186
angles: 90.00 90.00 90.00
Space group P4/mmm (No. 123)
Symmetry-distinct sites (fractional):
Y (0.000, 0.000, 0.000) x1
Cr (0.000, 0.500, 0.500) x2
Ni (0.000, 0.000, 0.500) x1
I (0.500, 0.500, 0.000) x1

## Properties
**Theoretical density**: 5.4 g/cm³
**E**: -6.1234 eV per atom
**ΔE_f (raw)**: 2.43 eV per formula unit



Entry 2:
The following is a DFT calculation (PBE-GGA) of a relaxed structure of NpCrI6.

abc: 7.736 14.221 7.222
angles: 90.00 97.35 90.00
Space group C2/m (No. 12)
Symmetry-distinct sites (fractional):
Np (0.000, 0.000, 0.000) x2
Cr (0.000, 0.000, 0.500) x2
I (0.148, 0.139, 0.304) x8
I (0.200, 0.500, 0.238) x4

## Properties
**Theoretical density**: 4.4 g/cm³
**E**: -4.6047 eV per atom
**ΔE_f (raw)**: -4.97 eV per formula unit